(1)
# NdLuGa (PBE-GGA, optimized geometry)
data_NdLuGa
_space_group_name_H-M_alt 'F -4 3 m'
_space_group_IT_number 216
_space_group_name_Hall 'F -4 2 3'
_cell_length_a 7.067
_cell_length_b 7.067
_cell_length_c 7.067
_cell_angle_alpha 90.00
_cell_angle_beta 90.00
_cell_angle_gamma 90.00
loop_
_atom_site_label
_atom_site_type_symbol
_atom_site_fract_x
_atom_site_fract_y
_atom_site_fract_z
_atom_site_occupancy
Nd1 Nd 0.000 0.000 0.000 1
Lu1 Lu 0.000 0.000 0.500 1
Ga1 Ga 0.250 0.250 0.250 1
# Total magnetization: 0.00 μB per atom

(2)
# NdLuGa (PBE-GGA, optimized geometry)
data_NdLuGa
_space_group_name_H-M_alt 'I 4 m m'
_space_group_IT_number 107
_space_group_name_Hall 'I 4 -2'
_cell_length_a 3.508
_cell_length_b 3.508
_cell_length_c 13.051
_cell_angle_alpha 90.00
_cell_angle_beta 90.00
_cell_angle_gamma 90.00
loop_
_atom_site_label
_atom_site_type_symbol
_atom_site_fract_x
_atom_site_fract_y
_atom_site_fract_z
_atom_site_occupancy
Nd1 Nd 0.000 0.000 0.000 1
Lu1 Lu 0.000 0.000 0.290 1
Ga1 Ga 0.000 0.000 0.656 1
# Total magnetization: 0.00 μB per atom

Most stable to least stable, the ends of the list are (2) and (1).